An optimized crystal structure of LiScGa, computed with PBE.

Calculated values
Uncorrected energy ... -0.1469 hartree per atom
D(E_F) ... 6.138 states/eV per cell

```
data_LiScGa
_cell_length_a 3.222
_cell_length_b 3.222
_cell_length_c 10.696
_cell_angle_alpha 90.00
_cell_angle_beta 90.00
_cell_angle_gamma 90.00
_symmetry_space_group_name_H-M 'I 4 m m'
_symmetry_Int_Tables_number 107
_symmetry_space_group_name_Hall 'I 4 -2'
loop_
_atom_site_label
_atom_site_fract_x
_atom_site_fract_y
_atom_site_fract_z
Li1 0.000 0.000 0.000
Sc1 0.000 0.000 0.298
Ga1 0.000 0.000 0.630
```

---

An optimized crystal structure of LiSc2Ga2, computed with PBE.

Calculated values
Uncorrected energy ... -0.1609 hartree per atom
D(E_F) ... 23.002 states/eV per cell

```
data_LiSc2Ga2
_cell_length_a 6.055
_cell_length_b 11.480
_cell_length_c 5.541
_cell_angle_alpha 90.00
_cell_angle_beta 90.00
_cell_angle_gamma 90.00
_symmetry_space_group_name_H-M 'I b a m'
_symmetry_Int_Tables_number 72
_symmetry_space_group_name_Hall '-I 2 2c'
loop_
_atom_site_label
_atom_site_fract_x
_atom_site_fract_y
_atom_site_fract_z
Li1 0.000 0.000 0.250
Sc1 0.245 0.316 0.000
Ga1 0.172 0.424 0.500
```

---

An optimized crystal structure of LiScGa2, computed with PBE.

Calculated values
Uncorrected energy ... -0.1264 hartree per atom
D(E_F) ... 6.169 states/eV per cell

```
data_LiScGa2
_cell_length_a 2.999
_cell_length_b 4.995
_cell_length_c 10.646
_cell_angle_alpha 90.00
_cell_angle_beta 90.00
_cell_angle_gamma 90.00
_symmetry_space_group_name_H-M 'I m m m'
_symmetry_Int_Tables_number 71
_symmetry_space_group_name_Hall '-I 2 2'
loop_
_atom_site_label
_atom_site_fract_x
_atom_site_fract_y
_atom_site_fract_z
Li1 0.000 0.000 0.000
Sc1 0.000 0.000 0.500
Ga1 0.000 0.000 0.230
```

---

An optimized crystal structure of LiSc2Ga2, computed with PBE.

Calculated values
Uncorrected energy ... -0.1628 hartree per atom
D(E_F) ... 5.929 states/eV per cell

```
data_LiSc2Ga2
_cell_length_a 8.266
_cell_length_b 8.266
_cell_length_c 3.049
_cell_angle_alpha 90.00
_cell_angle_beta 90.00
_cell_angle_gamma 90.00
_symmetry_space_group_name_H-M 'P 4/m b m'
_symmetry_Int_Tables_number 127
_symmetry_space_group_name_Hall '-P 4 2ab'
loop_
_atom_site_label
_atom_site_fract_x
_atom_site_fract_y
_atom_site_fract_z
Li1 0.000 0.000 0.000
Sc1 0.127 0.373 0.000
Ga1 0.174 0.674 0.500
```

---

An optimized crystal structure of LiSc3Ga4, computed with PBE.

Calculated values
Uncorrected energy ... -0.1710 hartree per atom
D(E_F) ... 9.113 states/eV per cell

```
data_LiSc3Ga4
_cell_length_a 4.698
_cell_length_b 4.698
_cell_length_c 13.194
_cell_angle_alpha 90.00
_cell_angle_beta 90.00
_cell_angle_gamma 90.00
_symmetry_space_group_name_H-M 'I 4/m m m'
_symmetry_Int_Tables_number 139
_symmetry_space_group_name_Hall '-I 4 2'
loop_
_atom_site_label
_atom_site_fract_x
_atom_site_fract_y
_atom_site_fract_z
Li1 0.000 0.000 0.000
Sc1 0.000 0.000 0.248
Sc2 0.000 0.000 0.500
Ga1 0.000 0.500 0.119
```

---

An optimized crystal structure of LiSc5Ga4, computed with PBE.

Calculated values
Uncorrected energy ... -0.1768 hartree per atom
D(E_F) ... 20.132 states/eV per cell

```
data_LiSc5Ga4
_cell_length_a 8.531
_cell_length_b 8.531
_cell_length_c 5.742
_cell_angle_alpha 90.00
_cell_angle_beta 90.00
_cell_angle_gamma 90.00
_symmetry_space_group_name_H-M 'I 4'
_symmetry_Int_Tables_number 79
_symmetry_space_group_name_Hall 'I 4'
loop_
_atom_site_label
_atom_site_fract_x
_atom_site_fract_y
_atom_site_fract_z
Li1 0.000 0.000 0.000
Sc1 0.000 0.000 0.495
Sc2 0.077 0.673 0.756
Ga1 0.107 0.746 0.243
```

---

An optimized crystal structure of LiScGa2, computed with PBE.

Calculated values
Uncorrected energy ... -0.1480 hartree per atom
D(E_F) ... 1.635 states/eV per cell

```
data_LiScGa2
_cell_length_a 3.219
_cell_length_b 3.219
_cell_length_c 6.556
_cell_angle_alpha 90.00
_cell_angle_beta 90.00
_cell_angle_gamma 90.00
_symmetry_space_group_name_H-M 'P 4/m m m'
_symmetry_Int_Tables_number 123
_symmetry_space_group_name_Hall '-P 4 2'
loop_
_atom_site_label
_atom_site_fract_x
_atom_site_fract_y
_atom_site_fract_z
Li1 0.000 0.000 0.000
Sc1 0.000 0.000 0.500
Ga1 0.500 0.500 0.216
```

---

An optimized crystal structure of Li2Sc3Ga4, computed with PBE.

Calculated values
Uncorrected energy ... -0.1599 hartree per atom
D(E_F) ... 8.973 states/eV per cell

```
data_Li2Sc3Ga4
_cell_length_a 9.921
_cell_length_b 4.411
_cell_length_c 8.363
_cell_angle_alpha 90.00
_cell_angle_beta 118.47
_cell_angle_gamma 90.00
_symmetry_space_group_name_H-M 'C 1 2/m 1'
_symmetry_Int_Tables_number 12
_symmetry_space_group_name_Hall '-C 2y'
loop_
_atom_site_label
_atom_site_fract_x
_atom_site_fract_y
_atom_site_fract_z
Li1 0.114 0.000 0.284
Sc1 0.000 0.500 0.000
Sc2 0.165 0.000 0.662
Ga1 0.047 0.500 0.379
Ga2 0.237 0.000 0.077
```